Computed, not measured: crystalline InPW2 at its relaxed geometry at the GGA-PBE level of DFT.

a = 3.9475 Å, b = 3.9475 Å, c = 8.6590 Å
α = 90.00°, β = 90.00°, γ = 90.00°
Space group I4/mmm (No. 139)
Asymmetric unit:
In 0.0000 0.0000 0.0000 (multiplicity 2)
P 0.0000 0.0000 0.5000 (multiplicity 2)
W 0.0000 0.5000 0.2500 (multiplicity 4)

Values from the calculation:
Total magnetization = 0.000 μB per cell
Calculated density = 12.6 g/cm³
Polymorph energy (0 for the lowest one) = 803 meV per atom
Formation enthalpy at 0 K = 891 meV/atom

---

Computed, not measured: crystalline Mg3Hg at its relaxed geometry at the GGA-PBE level of DFT.

a = 6.2103 Å, b = 10.7382 Å, c = 5.2700 Å
α = 90.00°, β = 90.00°, γ = 90.00°
Space group Cmcm (No. 63)
Asymmetric unit:
Mg 0.0000 0.0921 0.2500 (multiplicity 4)
Mg 0.2444 0.3503 0.2500 (multiplicity 8)
Hg 0.0000 0.3873 0.7500 (multiplicity 4)

Values from the calculation:
Total magnetization = 0.000 μB per cell
Calculated density = 5.2 g/cm³
Formation enthalpy at 0 K = -118 meV/atom

---

Computed, not measured: crystalline Er2TmNb at its relaxed geometry at the GGA-PBE level of DFT.

a = 3.2677 Å, b = 3.2677 Å, c = 34.3086 Å
α = 90.00°, β = 90.00°, γ = 120.00°
Space group R-3m (No. 166, hexagonal axes)
Asymmetric unit:
Er 0.0000 0.0000 0.0841 (multiplicity 6)
Tm 0.0000 0.0000 0.5000 (multiplicity 3)
Nb 0.0000 0.0000 0.0000 (multiplicity 3)

Values from the calculation:
Total magnetization = 0.017 μB per cell
Calculated density = 9.4 g/cm³
Formation enthalpy at 0 K = 506 meV/atom

---

Computed, not measured: crystalline Nd3H12Pd5 at its relaxed geometry at the GGA-PBE level of DFT.

a = 12.0872 Å, b = 12.0872 Å, c = 12.0872 Å
α = 90.00°, β = 90.00°, γ = 90.00°
Space group Ia-3d (No. 230)
Asymmetric unit:
Nd 0.0000 0.2500 0.1250 (multiplicity 24)
H 0.0340 0.0483 0.6407 (multiplicity 96)
Pd 0.0000 0.0000 0.0000 (multiplicity 16)
Pd 0.0000 0.2500 0.3750 (multiplicity 24)

Values from the calculation:
Total magnetization = 0.000 μB per cell
Calculated density = 7.3 g/cm³
Energy = -4.343 eV per atom

---

Computed, not measured: crystalline LiCaFe3 at its relaxed geometry at the GGA-PBE level of DFT.

a = 4.7257 Å, b = 4.7257 Å, c = 4.7257 Å
α = 90.00°, β = 90.00°, γ = 90.00°
Space group Pm-3m (No. 221)
Asymmetric unit:
Li 0.0000 0.0000 0.0000 (multiplicity 1)
Ca 0.5000 0.5000 0.5000 (multiplicity 1)
Fe 0.0000 0.5000 0.5000 (multiplicity 3)

Values from the calculation:
Total magnetization = 7.494 μB per cell
Calculated density = 3.4 g/cm³
Polymorph energy (0 for the lowest one) = 938 meV per atom
Formation enthalpy at 0 K = 1840 meV/atom

---

Computed, not measured: crystalline V2SnMo2 at its relaxed geometry at the GGA-PBE level of DFT.

a = 7.1113 Å, b = 7.1113 Å, c = 3.2068 Å
α = 90.00°, β = 90.00°, γ = 90.00°
Space group P4/mbm (No. 127)
Asymmetric unit:
V 0.1069 0.3931 0.0000 (multiplicity 4)
Sn 0.0000 0.0000 0.0000 (multiplicity 2)
Mo 0.1975 0.6975 0.5000 (multiplicity 4)

Values from the calculation:
Total magnetization = 0.000 μB per cell
Calculated density = 8.4 g/cm³
Polymorph energy (0 for the lowest one) = 0 meV per atom
Formation enthalpy at 0 K = 309 meV/atom